1.
## TlOs (GGA-PBE)

Data for crystalline TlOs at its relaxed geometry.

abc: 2.9738 2.9738 9.2173
angles: 90.00 90.00 90.00
Last column: nearest neighbours and their distance in Å.
Element x y z (fractional)
Tl 0.2500 0.2500 0.6678  4 Tl 2.97, 4 Os 3.11
Tl 0.7500 0.7500 0.3322  4 Tl 2.97, 4 Os 3.11
Os 0.2500 0.2500 0.0829  4 Os 2.60
Os 0.7500 0.7500 0.9171  4 Os 2.60

Output
Uncorrected energy ... -6.179 eV/atom
E above lowest polymorph ... 16 meV/atom
Space-group type ... No. 129
Magnetic moment ... 0.000 μB per formula unit
V ... 82 Å³/cell


2.
## TlOs (GGA-PBE)

Data for crystalline TlOs at its relaxed geometry.

abc: 3.0717 3.0717 8.9907
angles: 90.00 90.00 120.00
Last column: nearest neighbours and their distance in Å.
Element x y z (fractional)
Os 0.3333 0.6667 0.2500  6 Tl 2.86, 6 Os 3.07
Os 0.6667 0.3333 0.7500  6 Tl 2.86, 6 Os 3.07
Tl 0.0000 0.0000 0.0000  6 Os 2.86, 6 Tl 3.07
Tl 0.0000 0.0000 0.5000  6 Os 2.86, 6 Tl 3.07

Output
Uncorrected energy ... -5.615 eV/atom
E above lowest polymorph ... 580 meV/atom
Space-group type ... No. 194
Magnetic moment ... 0.000 μB per formula unit
V ... 73 Å³/cell


3.
## Tl3Os (GGA-PBE)

Data for crystalline Tl3Os at its relaxed geometry.

abc: 5.1868 5.1868 3.3846
angles: 90.00 90.00 90.00
Last column: nearest neighbours and their distance in Å.
Element x y z (fractional)
Os 0.0000 0.0000 0.0000  8 Tl 3.10, 2 Os 3.38
Tl 0.5000 0.0000 0.5000  6 Tl 3.10-3.38, 4 Os 3.10
Tl 0.0000 0.5000 0.5000  6 Tl 3.10-3.38, 4 Os 3.10
Tl 0.5000 0.5000 0.0000  10 Tl 3.10-3.38

Output
Uncorrected energy ... -3.604 eV/atom
E above lowest polymorph ... 541 meV/atom
Space-group type ... No. 123
Magnetic moment ... 0.007 μB per formula unit
V ... 91 Å³/cell


4.
## TlOs (GGA-PBE)

Data for crystalline TlOs at its relaxed geometry.

abc: 8.3202 8.3202 8.3202
angles: 90.00 90.00 90.00
Last column: nearest neighbours and their distance in Å.
Element x y z (fractional)
Os 0.3932 0.3932 0.6068  3 Os 2.51, 1 Tl 2.68
Os 0.1068 0.8932 0.8932  3 Os 2.51, 1 Tl 2.68
Os 0.8932 0.1068 0.8932  3 Os 2.51, 1 Tl 2.68
Os 0.6068 0.6068 0.6068  3 Os 2.51, 1 Tl 2.68
Os 0.8932 0.8932 0.1068  3 Os 2.51, 1 Tl 2.68
Os 0.3932 0.6068 0.3932  3 Os 2.51, 1 Tl 2.68
Os 0.6068 0.3932 0.3932  3 Os 2.51, 1 Tl 2.68
Os 0.1068 0.1068 0.1068  3 Os 2.51, 1 Tl 2.68
Tl 0.2930 0.2930 0.2930  4 Os 2.68-2.86
Tl 0.2070 0.2070 0.7930  4 Os 2.68-2.86
Tl 0.7070 0.2930 0.7070  4 Os 2.68-2.86
Tl 0.2930 0.7070 0.7070  4 Os 2.68-2.86
Tl 0.7070 0.7070 0.2930  4 Os 2.68-2.86
Tl 0.2070 0.7930 0.2070  4 Os 2.68-2.86
Tl 0.7930 0.7930 0.7930  4 Os 2.68-2.86
Tl 0.7930 0.2070 0.2070  4 Os 2.68-2.86

Output
Uncorrected energy ... -5.442 eV/atom
E above lowest polymorph ... 753 meV/atom
Space-group type ... No. 217
Magnetic moment ... 0.000 μB per formula unit
V ... 576 Å³/cell


5.
## Tm5Tl2Os2 (GGA-PBE)

Data for crystalline Tm5Tl2Os2 at its relaxed geometry.

abc: 7.4153 7.4577 9.0333
angles: 90.00 65.77 90.00
Last column: nearest neighbours and their distance in Å.
Element x y z (fractional)
Tl 0.2754 0.5000 0.4491  6 Tm 3.22-3.28
Tl 0.7246 0.5000 0.5509  6 Tm 3.22-3.28
Tl 0.2246 0.0000 0.5509  6 Tm 3.22-3.28
Tl 0.7754 0.0000 0.4491  6 Tm 3.22-3.28
Os 0.3817 0.8790 0.0000  1 Os 2.52
Os 0.6183 0.1210 0.0000  1 Os 2.52
Os 0.8817 0.6210 0.0000  1 Os 2.52
Os 0.1183 0.3790 0.0000  1 Os 2.52
Tm 0.9370 0.3229 0.7670  3 Os 2.86-2.97
Tm 0.5000 0.5000 0.0000  4 Os 2.96-2.97
Tm 0.2040 0.1771 0.2330  3 Os 2.86-2.97
Tm 0.0000 0.0000 0.0000  4 Os 2.96-2.97
Tm 0.2960 0.6771 0.7670  3 Os 2.86-2.97
Tm 0.7040 0.3229 0.2330  3 Os 2.86-2.97
Tm 0.0630 0.6771 0.2330  3 Os 2.86-2.97
Tm 0.7960 0.8229 0.7670  3 Os 2.86-2.97
Tm 0.5630 0.8229 0.2330  3 Os 2.86-2.97
Tm 0.4370 0.1771 0.7670  3 Os 2.86-2.97

Output
Uncorrected energy ... -5.842 eV/atom
Space-group type ... No. 64
Magnetic moment ... 0.000 μB per formula unit
V ... 456 Å³/cell


6.
## Tm6TlOs2 (GGA-PBE)

Data for crystalline Tm6TlOs2 at its relaxed geometry.

abc: 8.4105 8.4105 8.4105
angles: 103.99 111.81 112.75
Last column: nearest neighbours and their distance in Å.
Element x y z (fractional)
Tm 0.7896 0.2428 0.0324  2 Os 2.77-3.07
Tm 0.4666 0.2821 0.1845  3 Os 2.96-2.98, 1 Tl 3.15
Tm 0.6880 0.3562 0.6683  3 Os 2.79-2.92
Tm 0.2104 0.2428 0.4532  2 Os 2.77-3.07
Tm 0.5334 0.7179 0.8155  3 Os 2.96-2.98, 1 Tl 3.15
Tm 0.9024 0.7179 0.1845  3 Os 2.96-2.98, 1 Tl 3.15
Tm 0.2104 0.7572 0.9676  2 Os 2.77-3.07
Tm 0.6880 0.0197 0.3317  3 Os 2.79-2.92
Tm 0.0976 0.2821 0.8155  3 Os 2.96-2.98, 1 Tl 3.15
Tm 0.3120 0.9803 0.6683  3 Os 2.79-2.92
Tm 0.3120 0.6438 0.3317  3 Os 2.79-2.92
Tm 0.7896 0.7572 0.5468  2 Os 2.77-3.07
Os 0.5000 0.3776 0.8776  1 Os 2.54, 2 Tm 2.79
Os 0.6655 0.0000 0.6655  8 Tm 2.77-2.98
Os 0.5000 0.6224 0.1224  1 Os 2.54, 2 Tm 2.79
Os 0.3345 0.0000 0.3345  8 Tm 2.77-2.98
Tl 0.0000 0.5000 0.5000  12 Tm 3.32-3.60
Tl 0.0000 0.0000 0.0000  8 Tm 3.15-3.20, 2 Os 3.15

Output
Uncorrected energy ... -6.053 eV/atom
Space-group type ... No. 71
Magnetic moment ... 0.000 μB per formula unit
V ... 455 Å³/cell


7.
## Tm3TlOs (GGA-PBE)

Data for crystalline Tm3TlOs at its relaxed geometry.

abc: 4.8145 7.6427 9.0330
angles: 120.57 90.00 108.36
Last column: nearest neighbours and their distance in Å.
Element x y z (fractional)
Tm 0.2606 0.5212 0.7896  3 Os 2.87-2.90, 1 Tm 3.22
Tm 0.7394 0.4788 0.2104  3 Os 2.87-2.90, 1 Tm 3.22
Tm 0.0682 0.1364 0.2065  2 Os 2.86-2.89, 1 Tm 3.15
Tm 0.4025 0.8050 0.2112  3 Os 2.89-2.91, 1 Tm 3.22
Tm 0.9318 0.8636 0.7935  2 Os 2.86-2.89, 1 Tm 3.15
Tm 0.5975 0.1950 0.7888  3 Os 2.89-2.91, 1 Tm 3.22
Tl 0.3356 0.6712 0.5090  8 Tm 3.24-3.34, 2 Tl 3.40
Tl 0.6644 0.3288 0.4910  8 Tm 3.24-3.34, 2 Tl 3.40
Os 0.1651 0.3302 0.9979  8 Tm 2.86-2.91
Os 0.8349 0.6698 0.0021  8 Tm 2.86-2.91

Output
Uncorrected energy ... -5.666 eV/atom
E above lowest polymorph ... 68 meV/atom
Space-group type ... No. 12
Magnetic moment ... 0.000 μB per formula unit
V ... 266 Å³/cell


8.
## Tm4Tl3Os (GGA-PBE)

Data for crystalline Tm4Tl3Os at its relaxed geometry.

abc: 3.5124 3.5124 15.8585
angles: 90.00 90.00 90.00
Last column: nearest neighbours and their distance in Å.
Element x y z (fractional)
Tl 0.5000 0.5000 0.2380  8 Tm 3.22-3.31, 4 Tl 3.51
Tl 0.5000 0.5000 0.7620  8 Tm 3.22-3.31, 4 Tl 3.51
Tl 0.5000 0.5000 0.5000  8 Tm 3.26, 4 Tl 3.51
Tm 0.0000 0.0000 0.8996  4 Os 2.95, 1 Tm 3.18
Tm 0.0000 0.0000 0.1004  4 Os 2.95, 1 Tm 3.18
Tm 0.0000 0.0000 0.3671  8 Tl 3.22-3.26, 4 Tm 3.51
Tm 0.0000 0.0000 0.6329  8 Tl 3.22-3.26, 4 Tm 3.51
Os 0.5000 0.5000 0.0000  8 Tm 2.95

Output
Uncorrected energy ... -4.852 eV/atom
Space-group type ... No. 123
Magnetic moment ... 0.285 μB per formula unit
V ... 196 Å³/cell


9.
## Tm5TlOs2 (GGA-PBE)

Data for crystalline Tm5TlOs2 at its relaxed geometry.

abc: 7.6275 7.6275 8.6750
angles: 116.08 116.08 90.00
Last column: nearest neighbours and their distance in Å.
Element x y z (fractional)
Os 0.8613 0.6387 0.0000  8 Tm 2.81-2.95, 1 Os 2.99
Os 0.1387 0.3613 0.0000  8 Tm 2.81-2.95, 1 Os 2.99
Os 0.3613 0.8613 0.0000  8 Tm 2.81-2.95, 1 Os 2.99
Os 0.6387 0.1387 0.0000  8 Tm 2.81-2.95, 1 Os 2.99
Tl 0.7500 0.7500 0.5000  10 Tm 3.29-3.40
Tl 0.2500 0.2500 0.5000  10 Tm 3.29-3.40
Tm 0.9709 0.4709 0.2627  3 Os 2.81-2.90
Tm 0.5291 0.7082 0.7373  3 Os 2.81-2.90
Tm 0.4709 0.2918 0.2627  3 Os 2.81-2.90
Tm 0.0291 0.5291 0.7373  3 Os 2.81-2.90
Tm 0.5000 0.5000 0.0000  4 Os 2.95
Tm 0.2918 0.7918 0.2627  3 Os 2.81-2.90
Tm 0.7082 0.2082 0.7373  3 Os 2.81-2.90
Tm 0.2082 0.0291 0.7373  3 Os 2.81-2.90
Tm 0.0000 0.0000 0.0000  4 Os 2.95
Tm 0.7918 0.9709 0.2627  3 Os 2.81-2.90

Output
Uncorrected energy ... -6.251 eV/atom
Space-group type ... No. 140
Magnetic moment ... 0.000 μB per formula unit
V ... 395 Å³/cell


10.
## Tm3TlOs (GGA-PBE)

Data for crystalline Tm3TlOs at its relaxed geometry.

abc: 5.7574 5.7574 8.7977
angles: 101.92 101.92 111.63
Last column: nearest neighbours and their distance in Å.
Element x y z (fractional)
Tm 0.3031 0.4264 0.7296  2 Os 2.80
Tm 0.9265 0.8031 0.7296  2 Os 2.80
Tm 0.0735 0.1969 0.2704  2 Os 2.80
Tm 0.6969 0.5736 0.2704  2 Os 2.80
Tm 0.7018 0.2018 0.9037  4 Os 2.98, 2 Tm 3.29
Tm 0.2982 0.7982 0.0963  4 Os 2.98, 2 Tm 3.29
Os 0.2500 0.2500 0.0000  8 Tm 2.80-2.98
Os 0.7500 0.7500 0.0000  8 Tm 2.80-2.98
Tl 0.7191 0.2191 0.5000  1 Tl 2.83, 4 Tm 3.17
Tl 0.2809 0.7809 0.5000  1 Tl 2.83, 4 Tm 3.17

Output
Uncorrected energy ... -5.734 eV/atom
E above lowest polymorph ... 0 meV/atom
Space-group type ... No. 69
Magnetic moment ... 0.000 μB per formula unit
V ... 252 Å³/cell


11.
## YTmTlOs (GGA-PBE)

Data for crystalline YTmTlOs at its relaxed geometry.

abc: 5.0373 5.0373 5.0373
angles: 60.00 60.00 60.00
Last column: nearest neighbours and their distance in Å.
Element x y z (fractional)
Tl 0.0000 0.0000 0.0000  4 Tm 3.08, 4 Y 3.08
Os 0.5000 0.5000 0.5000  4 Tm 3.08, 4 Y 3.08
Tm 0.2500 0.2500 0.2500  4 Tl 3.08, 4 Os 3.08
Y 0.7500 0.7500 0.7500  4 Tl 3.08, 4 Os 3.08

Output
Uncorrected energy ... -6.298 eV/atom
Space-group type ... No. 216
Magnetic moment ... 0.000 μB per formula unit
V ... 90 Å³/cell


12.
## TmZrTlOs (GGA-PBE)

Data for crystalline TmZrTlOs at its relaxed geometry.

abc: 3.2754 3.2754 8.1779
angles: 90.00 90.00 90.00
Last column: nearest neighbours and their distance in Å.
Element x y z (fractional)
Tl 0.0000 0.0000 0.0814  4 Tl 3.28, 4 Zr 3.29, 4 Tm 3.40
Zr 0.5000 0.5000 0.3679  4 Os 2.79
Os 0.0000 0.0000 0.5585  4 Zr 2.79, 4 Tm 2.92
Tm 0.5000 0.5000 0.7769  4 Os 2.92, 4 Tm 3.28

Output
Uncorrected energy ... -6.980 eV/atom
Space-group type ... No. 99
Magnetic moment ... 0.000 μB per formula unit
V ... 88 Å³/cell